# 1
Here is a relaxed structure of Sm2Er3Cd from the Alexandria database. Energies are from GGA-PBE.

Cell lengths 3.408, 17.114, 6.514 Å; angles 90.00, 90.00, 90.00 degrees
Space group Imm2 (No. 44)
One atom of each set of equivalent atoms:
Sm: 0.000 0.192 0.000 (multiplicity 4)
Er: 0.000 0.131 0.494 (multiplicity 4)
Er: 0.000 0.500 0.687 (multiplicity 2)
Cd: 0.000 0.000 0.795 (multiplicity 2)

Values from the calculation:
Calculated formation energy: 150 meV/atom
Density of states at the Fermi level: 14.46 states/eV/cell
V: 31.7 Å³ per atom
Total magnetization: 0.00 μB/f.u.

---

# 2
Here is a relaxed structure of SmEr2Cd2 from the Alexandria database. Energies are from GGA-PBE.

Cell lengths 3.711, 5.374, 13.884 Å; angles 90.00, 97.68, 90.00 degrees
Space group P2_1/m (No. 11)
One atom of each set of equivalent atoms:
Sm: 0.150 0.250 0.297 (multiplicity 2)
Er: 0.047 0.750 0.092 (multiplicity 2)
Er: 0.236 0.750 0.473 (multiplicity 2)
Cd: 0.358 0.250 0.717 (multiplicity 2)
Cd: 0.451 0.750 0.903 (multiplicity 2)

Values from the calculation:
Polymorph energy (0 for the lowest one): 0 meV/atom
Calculated formation energy: -253 meV/atom
Density of states at the Fermi level: 9.94 states/eV/cell
V: 27.4 Å³ per atom
Total magnetization: 0.00 μB/f.u.

---

# 3
Here is a relaxed structure of Sm2Er3Cd3 from the Alexandria database. Energies are from GGA-PBE.

Cell lengths 3.751, 5.303, 22.283 Å; angles 90.00, 90.00, 90.00 degrees
Space group Immm (No. 71)
One atom of each set of equivalent atoms:
Sm: 0.000 0.000 0.232 (multiplicity 4)
Er: 0.000 0.000 0.000 (multiplicity 2)
Er: 0.000 0.500 0.121 (multiplicity 4)
Cd: 0.000 0.000 0.500 (multiplicity 2)
Cd: 0.000 0.500 0.386 (multiplicity 4)

Values from the calculation:
Polymorph energy (0 for the lowest one): 0 meV/atom
Calculated formation energy: -225 meV/atom
Density of states at the Fermi level: 15.41 states/eV/cell
V: 27.7 Å³ per atom
Total magnetization: 0.00 μB/f.u.